Sc2TaCr: relaxed, PBE-GGA.

The value obtained for the energy above the lowest structure with this stoichiometry is 283.1 meV per atom. For the magnetic moment, the calculation gives 0.6 μB/cell. For the volume, the calculation gives 18.4 Å³/atom. As for the crystal system: orthorhombic. The energy comes out at -32.518 eV for the cell shown. As for the energy of formation from the pure elements: 0.405 eV/atom.

It has space group Pmmm (No. 47), with a = 2.833 Å, b = 4.660 Å, c = 5.560 Å, α = 90.00°, β = 90.00° and γ = 90.00°. The inequivalent atoms are Sc at (0.000, 0.000, 0.242), Ta at (0.500, 0.500, 0.500) and Cr at (0.500, 0.500, 0.000).



CeNdSmTh: relaxed, PBE-GGA.

The value obtained for the energy above the lowest structure with this stoichiometry is 197.0 meV per atom. For the magnetic moment, the calculation gives 7.7 μB/cell. For the volume, the calculation gives 32.8 Å³/atom. As for the crystal system: cubic. The energy comes out at -87.562 eV for the cell shown. As for the energy of formation from the pure elements: 0.238 eV/atom.

It has space group F-43m (No. 216), with a = 8.070 Å, b = 8.070 Å, c = 8.070 Å, α = 90.00°, β = 90.00° and γ = 90.00°. The inequivalent atoms are Ce at (0.000, 0.000, 0.000), Nd at (0.250, 0.250, 0.750), Sm at (0.000, 0.000, 0.500) and Th at (0.250, 0.250, 0.250).



Ca8N5: relaxed, PBE-GGA.

For the magnetic moment, the calculation gives 3.9 μB/cell. For the volume, the calculation gives 20.7 Å³/atom. As for the crystal system: cubic. The energy comes out at -269.590 eV for the cell shown.

It has space group F-43m (No. 216), with a = 10.251 Å, b = 10.251 Å, c = 10.251 Å, α = 90.00°, β = 90.00° and γ = 90.00°. The inequivalent atoms are Ca at (0.109, 0.109, 0.109), Ca at (0.135, 0.135, 0.635), N at (0.000, 0.000, 0.500) and N at (0.122, 0.122, 0.878).



SrBe2As: relaxed, PBE-GGA.

For the magnetic moment, the calculation gives 0.0 μB/cell. For the volume, the calculation gives 19.8 Å³/atom. As for the crystal system: monoclinic. The energy comes out at -22.418 eV for the cell shown. As for the energy of formation from the pure elements: 0.644 eV/atom.

It has space group C2/m (No. 12), with a = 5.863 Å, b = 10.240 Å, c = 3.030 Å, α = 90.00°, β = 119.51° and γ = 90.00°. The inequivalent atoms are Sr at (0.000, 0.000, 0.000), Be at (0.250, 0.250, 0.500) and As at (0.000, 0.500, 0.000).



SiAsPC: relaxed, PBE-GGA.

The value obtained for the energy above the lowest structure with this stoichiometry is 0.0 meV per atom. For the magnetic moment, the calculation gives 0.0 μB/cell. For the volume, the calculation gives 18.1 Å³/atom. As for the crystal system: monoclinic. The energy comes out at -47.070 eV for the cell shown.

It has space group Cm (No. 8), with a = 15.596 Å, b = 3.112 Å, c = 2.983 Å, α = 90.00°, β = 90.82° and γ = 90.00°. The inequivalent atoms are Si at (0.000, 0.000, 0.000), As at (0.114, 0.500, 0.009), P at (0.355, 0.000, 0.489) and C at (0.427, 0.500, 0.495).



KNbCl2: relaxed, PBE-GGA.

The value obtained for the energy above the lowest structure with this stoichiometry is 540.2 meV per atom. For the magnetic moment, the calculation gives 3.9 μB/cell. For the volume, the calculation gives 20.6 Å³/atom. As for the crystal system: cubic. The energy comes out at -60.261 eV for the cell shown.

It has space group Fm-3m (No. 225), with a = 6.913 Å, b = 6.913 Å, c = 6.913 Å, α = 90.00°, β = 90.00° and γ = 90.00°. The inequivalent atoms are K at (0.000, 0.000, 0.000), Nb at (0.000, 0.000, 0.500) and Cl at (0.250, 0.250, 0.250).



NiBP: relaxed, PBE-GGA.

The value obtained for the energy above the lowest structure with this stoichiometry is 0.0 meV per atom. For the magnetic moment, the calculation gives 0.0 μB/cell. For the volume, the calculation gives 11.4 Å³/atom. As for the crystal system: triclinic. The energy comes out at -36.715 eV for the cell shown. As for the energy of formation from the pure elements: -0.163 eV/atom.

It has space group P-1 (No. 2), with a = 3.164 Å, b = 4.414 Å, c = 5.485 Å, α = 91.60°, β = 105.65° and γ = 110.38°. The inequivalent atoms are Ni at (0.198, 0.293, 0.140), B at (0.429, 0.319, 0.556) and P at (0.054, 0.803, 0.277).



KCd3P2: relaxed, PBE-GGA.

For the magnetic moment, the calculation gives 0.0 μB/cell. For the volume, the calculation gives 26.6 Å³/atom. As for the crystal system: monoclinic. The energy comes out at -62.278 eV for the cell shown. As for the energy of formation from the pure elements: -0.151 eV/atom.

It has space group C2/m (No. 12), with a = 17.121 Å, b = 4.358 Å, c = 10.279 Å, α = 90.00°, β = 123.63° and γ = 90.00°. The inequivalent atoms are K at (0.131, 0.000, 0.040), Cd at (0.077, 0.000, 0.406), Cd at (0.102, 0.500, 0.709), Cd at (0.208, 0.500, 0.383), P at (0.024, 0.500, 0.226) and P at (0.182, 0.000, 0.722).



RbDyAu2I6: relaxed, PBE-GGA.

For the magnetic moment, the calculation gives 0.0 μB/cell. For the volume, the calculation gives 47.1 Å³/atom. As for the crystal system: triclinic. The energy comes out at -29.600 eV for the cell shown.

It has space group P-1 (No. 2), with a = 7.924 Å, b = 7.932 Å, c = 9.761 Å, α = 90.00°, β = 66.14° and γ = 60.23°. The inequivalent atoms are Rb at (0.000, 0.000, 0.000), Dy at (0.000, 0.500, 0.500), Au at (0.465, 0.770, 0.304), I at (0.145, 0.737, 0.290), I at (0.172, 0.564, 0.711) and I at (0.445, 0.121, 0.289).



AcZrB12: relaxed, PBE-GGA.

For the magnetic moment, the calculation gives 0.0 μB/cell. For the volume, the calculation gives 10.1 Å³/atom. As for the crystal system: tetragonal. The energy comes out at -96.651 eV for the cell shown. As for the energy of formation from the pure elements: -0.276 eV/atom.

It has space group P4/mmm (No. 123), with a = 4.138 Å, b = 4.138 Å, c = 8.235 Å, α = 90.00°, β = 90.00° and γ = 90.00°. The inequivalent atoms are Ac at (0.000, 0.000, 0.000), Zr at (0.000, 0.000, 0.500), B at (0.199, 0.500, 0.256), B at (0.500, 0.500, 0.103) and B at (0.500, 0.500, 0.403).



SiAg2Ru: relaxed, PBE-GGA.

For the magnetic moment, the calculation gives 0.5 μB/cell. For the volume, the calculation gives 16.0 Å³/atom. As for the crystal system: orthorhombic. The energy comes out at -18.724 eV for the cell shown.

It has space group Pmmm (No. 47), with a = 2.785 Å, b = 4.354 Å, c = 5.282 Å, α = 90.00°, β = 90.00° and γ = 90.00°. The inequivalent atoms are Si at (0.000, 0.000, 0.000), Ag at (0.500, 0.500, 0.251) and Ru at (0.000, 0.000, 0.500).



NbRePb2: relaxed, PBE-GGA.

The value obtained for the energy above the lowest structure with this stoichiometry is 336.0 meV per atom. For the magnetic moment, the calculation gives 2.4 μB/cell. For the volume, the calculation gives 22.8 Å³/atom. As for the crystal system: tetragonal. The energy comes out at -100.154 eV for the cell shown. As for the energy of formation from the pure elements: 1.224 eV/atom.

It has space group I-42d (No. 122), with a = 7.886 Å, b = 7.886 Å, c = 5.855 Å, α = 90.00°, β = 90.00° and γ = 90.00°. The inequivalent atoms are Nb at (0.000, 0.000, 0.000), Re at (0.000, 0.000, 0.500) and Pb at (0.230, 0.250, 0.625).



Sm4YMg3: relaxed, PBE-GGA.

For the magnetic moment, the calculation gives 0.0 μB/cell. For the volume, the calculation gives 29.8 Å³/atom. As for the crystal system: orthorhombic. The energy comes out at -30.362 eV for the cell shown. As for the energy of formation from the pure elements: -0.030 eV/atom.

It has space group Pmmm (No. 47), with a = 3.842 Å, b = 5.543 Å, c = 11.177 Å, α = 90.00°, β = 90.00° and γ = 90.00°. The inequivalent atoms are Sm at (0.000, 0.000, 0.000), Sm at (0.000, 0.000, 0.500), Sm at (0.000, 0.500, 0.238), Y at (0.500, 0.500, 0.500), Mg at (0.500, 0.000, 0.250) and Mg at (0.500, 0.500, 0.000).



PdS6F2: relaxed, PBE-GGA.

For the magnetic moment, the calculation gives 0.0 μB/cell. For the volume, the calculation gives 29.6 Å³/atom. As for the crystal system: monoclinic. The energy comes out at -149.854 eV for the cell shown.

It has space group C2/c (No. 15), with a = 15.039 Å, b = 12.592 Å, c = 5.654 Å, α = 90.00°, β = 95.91° and γ = 90.00°. The inequivalent atoms are Pd at (0.000, 0.215, 0.250), S at (0.042, 0.143, 0.894), S at (0.117, 0.324, 0.423), S at (0.163, 0.302, 0.746) and F at (0.118, 0.396, 0.910).



AlAgP2Se6: relaxed, PBE-GGA.

For the magnetic moment, the calculation gives 0.0 μB/cell. For the volume, the calculation gives 26.4 Å³/atom. As for the crystal system: monoclinic. The energy comes out at -82.848 eV for the cell shown.

It has space group C2 (No. 5), with a = 6.414 Å, b = 11.107 Å, c = 7.681 Å, α = 90.00°, β = 105.51° and γ = 90.00°. The inequivalent atoms are Al at (0.000, 0.000, 0.000), Ag at (0.000, 0.334, 0.000), P at (0.048, 0.667, 0.151), Se at (0.210, 0.844, 0.233), Se at (0.228, 0.010, 0.768) and Se at (0.240, 0.146, 0.232).



Ta2Pd6Pt3: relaxed, PBE-GGA.

For the magnetic moment, the calculation gives 0.0 μB/cell. For the volume, the calculation gives 16.8 Å³/atom. As for the crystal system: monoclinic. The energy comes out at -293.609 eV for the cell shown. As for the energy of formation from the pure elements: -0.038 eV/atom.

It has space group C2/c (No. 15), with a = 8.390 Å, b = 4.847 Å, c = 18.145 Å, α = 90.00°, β = 90.10° and γ = 90.00°. The inequivalent atoms are Ta at (0.168, 0.000, 0.000), Pd at (0.000, 0.165, 0.117), Pd at (0.167, 0.335, 0.617), Pd at (0.167, 0.335, 0.883), Pt at (0.000, 0.167, 0.750) and Pt at (0.167, 0.333, 0.250).



TiBi2SbSe: relaxed, PBE-GGA.

For the magnetic moment, the calculation gives 0.6 μB/cell. For the volume, the calculation gives 30.1 Å³/atom. As for the crystal system: tetragonal. The energy comes out at -22.017 eV for the cell shown.

It has space group P4/mmm (No. 123), with a = 5.400 Å, b = 5.400 Å, c = 5.159 Å, α = 90.00°, β = 90.00° and γ = 90.00°. The inequivalent atoms are Ti at (0.000, 0.000, 0.000), Bi at (0.000, 0.500, 0.000), Sb at (0.000, 0.000, 0.500) and Se at (0.500, 0.500, 0.500).



SiAgAu3: relaxed, PBE-GGA.

The value obtained for the energy above the lowest structure with this stoichiometry is 0.0 meV per atom. For the magnetic moment, the calculation gives 0.0 μB/cell. For the volume, the calculation gives 18.9 Å³/atom. As for the crystal system: monoclinic. The energy comes out at -71.760 eV for the cell shown.

It has space group P2_1/c (No. 14), with a = 7.064 Å, b = 5.564 Å, c = 9.702 Å, α = 90.00°, β = 97.27° and γ = 90.00°. The inequivalent atoms are Si at (0.053, 0.210, 0.457), Ag at (0.392, 0.670, 0.319), Au at (0.005, 0.647, 0.797), Au at (0.253, 0.547, 0.583) and Au at (0.394, 0.177, 0.411).



BaReN3: relaxed, PBE-GGA.

For the magnetic moment, the calculation gives 0.0 μB/cell. For the volume, the calculation gives 19.6 Å³/atom. As for the crystal system: monoclinic. The energy comes out at -334.283 eV for the cell shown.

It has space group C2/c (No. 15), with a = 11.284 Å, b = 11.416 Å, c = 6.241 Å, α = 90.00°, β = 103.28° and γ = 90.00°. The inequivalent atoms are Ba at (0.000, 0.100, 0.250), Ba at (0.000, 0.327, 0.750), Re at (0.213, 0.418, 0.259), N at (0.128, 0.108, 0.678), N at (0.137, 0.285, 0.181) and N at (0.163, 0.482, 0.509).



EuYMgRh: relaxed, PBE-GGA.

For the magnetic moment, the calculation gives 27.8 μB/cell. For the volume, the calculation gives 24.1 Å³/atom. As for the crystal system: cubic. The energy comes out at -106.856 eV for the cell shown. As for the energy of formation from the pure elements: -0.257 eV/atom.

It has space group F-43m (No. 216), with a = 7.274 Å, b = 7.274 Å, c = 7.274 Å, α = 90.00°, β = 90.00° and γ = 90.00°. The inequivalent atoms are Eu at (0.000, 0.000, 0.000), Y at (0.000, 0.000, 0.500), Mg at (0.250, 0.250, 0.250) and Rh at (0.250, 0.250, 0.750).